ErPuPdRu | PBE | optimized geometry

Structure (extended XYZ):
```
4
Lattice="4.854 0.000 0.000 2.427 4.204 0.000 2.427 1.401 3.964" Properties=species:S:1:pos:R:3 pbc="T T T"
Ru 7.281 4.204 2.973
Er 0.000 0.000 0.000
Pd 2.427 1.401 0.991
Pu 4.854 2.803 1.982
```

Summary:
The final energy comes out at -8.768 eV/atom. Its theoretical density is 12.70 g cm⁻³. Its crystal system is cubic. The space group is F-43m. For the energy relative to the elements, the calculation gives -0.43 eV per atom.

---

AcPa2C3 | PBE | optimized geometry

Structure (extended XYZ):
```
12
Lattice="-1.723 -3.036 -2.150 5.673 1.718 -3.063 4.442 -5.974 4.876" Properties=species:S:1:pos:R:3 pbc="T T T"
Ac 3.548 -1.392 -0.878
Ac 4.844 -5.900 0.541
Pa 0.000 0.000 0.000
Pa 2.221 -2.987 2.438
Pa 0.256 -3.011 0.138
Pa 8.135 -4.281 -0.475
C 0.451 -1.744 -1.808
C 4.166 -4.446 2.940
C 2.268 -4.187 0.186
C 4.226 -2.846 -3.277
C 7.940 -5.548 1.471
C 6.124 -3.105 -0.523
```

Summary:
The final energy comes out at -8.160 eV/atom. Its theoretical density is 10.40 g cm⁻³. Its crystal system is orthorhombic. The space group is Cmcm. For the energy relative to the elements, the calculation gives 0.30 eV per atom.

---

ZnInCl2F | PBE | optimized geometry

Structure (extended XYZ):
```
5
Lattice="5.122 0.000 0.000 0.000 5.122 0.000 0.000 0.000 4.017" Properties=species:S:1:pos:R:3 pbc="T T T"
Zn 0.000 0.000 0.000
Cl 0.000 2.561 0.000
Cl 2.561 0.000 0.000
F 0.000 0.000 2.009
In 2.561 2.561 2.009
```

Summary:
The final energy comes out at -3.199 eV/atom. Its theoretical density is 4.26 g cm⁻³. Its crystal system is tetragonal. The space group is P4/mmm. Its uncorrected formation energy is -29.589 kcal/mol of atoms.

---

BC3 | PBE | optimized geometry

Structure (extended XYZ):
```
8
Lattice="-2.273 -0.643 -0.871 0.993 -2.045 -1.081 -1.335 -4.083 6.494" Properties=species:S:1:pos:R:3 pbc="T T T"
B -2.297 -3.870 5.209
B -0.982 -2.388 0.685
C -1.618 -4.337 3.784
C -1.660 -1.922 2.109
C -0.668 -2.045 3.253
C -0.337 -3.570 3.512
C -0.013 -0.040 0.063
C 0.343 -1.493 0.208
```

Summary:
The final energy comes out at -8.345 eV/atom. Its theoretical density is 3.15 g cm⁻³. Its crystal system is orthorhombic. The space group is Pmma. For the energy relative to the elements, the calculation gives 0.24 eV per atom.

---

KYTl2 | PBE | optimized geometry

Structure (extended XYZ):
```
4
Lattice="-0.900 -1.072 -3.603 -3.013 -2.109 1.379 -8.101 4.677 0.631" Properties=species:S:1:pos:R:3 pbc="T T T"
Y -3.228 0.106 -1.299
Tl -3.228 -1.820 1.347
Tl -5.342 0.996 1.037
K -8.785 1.391 -0.294
```

Summary:
The final energy comes out at -3.283 eV/atom. Its theoretical density is 6.89 g cm⁻³. Its crystal system is orthorhombic. The space group is Pmmm. For the energy relative to the elements, the calculation gives -0.21 eV per atom.

---

MgTc4Pt | PBE | optimized geometry

Structure (extended XYZ):
```
6
Lattice="5.077 0.802 0.018 1.925 4.237 2.182 2.641 -0.346 4.396" Properties=species:S:1:pos:R:3 pbc="T T T"
Mg 2.411 1.173 1.649
Tc 4.706 3.108 1.920
Tc 5.065 0.810 3.030
Tc 6.030 2.935 4.125
Tc 3.485 2.533 4.116
Pt 0.000 0.000 0.000
```

Summary:
The final energy comes out at -7.943 eV/atom. Its theoretical density is 10.57 g cm⁻³. Its crystal system is cubic. The space group is F-43m. For the energy relative to the elements, the calculation gives 0.24 eV per atom.